Tl2AgBr3F after structural relaxation, computed with GGA-PBE.

```
data_Tl2AgBr3F
_chemical_formula_sum 'Tl2 Ag1 Br3 F1'
_cell_length_a 9.3181
_cell_length_b 9.3181
_cell_length_c 9.3181
_cell_angle_alpha 152.27
_cell_angle_beta 146.67
_cell_angle_gamma 43.89
_symmetry_space_group_name_H-M 'P 1'
_symmetry_Int_Tables_number 1
loop_
_symmetry_equiv_pos_as_xyz
'x,y,z'
loop_
_atom_site_label
_atom_site_fract_x
_atom_site_fract_y
_atom_site_fract_z
_atom_site_occupancy
Tl1 0.1465 0.1465 0.0000 1
Tl2 0.8535 0.8535 0.0000 1
Ag1 0.5000 0.5000 0.0000 1
Br1 0.0000 0.5000 0.5000 1
Br2 0.3371 0.3371 0.0000 1
Br3 0.6629 0.6629 0.0000 1
F1 0.5000 0.0000 0.5000 1
```

density: 6.2 Mg/m³
symmetry: No. 71
ΔE_f (raw): -795 meV/atom

K6Rb3Na5 after structural relaxation, computed with GGA-PBE.

```
data_K6Rb3Na5
_chemical_formula_sum 'K12 Rb6 Na10'
_cell_length_a 6.5991
_cell_length_b 18.2644
_cell_length_c 14.8679
_cell_angle_alpha 90.00
_cell_angle_beta 90.00
_cell_angle_gamma 90.00
_symmetry_space_group_name_H-M 'P 1'
_symmetry_Int_Tables_number 1
loop_
_symmetry_equiv_pos_as_xyz
'x,y,z'
loop_
_atom_site_label
_atom_site_fract_x
_atom_site_fract_y
_atom_site_fract_z
_atom_site_occupancy
K1 0.2500 0.0768 0.0836 1
K2 0.2500 0.2500 0.5667 1
K3 0.2500 0.2500 0.8843 1
K4 0.2500 0.4232 0.0836 1
K5 0.2500 0.5885 0.4743 1
K6 0.2500 0.9115 0.4743 1
K7 0.7500 0.0885 0.5257 1
K8 0.7500 0.4115 0.5257 1
K9 0.7500 0.5768 0.9164 1
K10 0.7500 0.7500 0.1157 1
K11 0.7500 0.7500 0.4333 1
K12 0.7500 0.9232 0.9164 1
Rb1 0.2500 0.0332 0.7510 1
Rb2 0.2500 0.4668 0.7510 1
Rb3 0.2500 0.7500 0.7771 1
Rb4 0.7500 0.2500 0.2229 1
Rb5 0.7500 0.5332 0.2490 1
Rb6 0.7500 0.9668 0.2490 1
Na1 0.2500 0.1248 0.3496 1
Na2 0.2500 0.3752 0.3496 1
Na3 0.2500 0.6424 0.0592 1
Na4 0.2500 0.7500 0.2696 1
Na5 0.2500 0.8576 0.0592 1
Na6 0.7500 0.1424 0.9408 1
Na7 0.7500 0.2500 0.7304 1
Na8 0.7500 0.3576 0.9408 1
Na9 0.7500 0.6248 0.6504 1
Na10 0.7500 0.8752 0.6504 1
```

density: 1.1 Mg/m³
symmetry: No. 59
energy of formation from the pure elements: 36 meV/atom

LaAlN2F after structural relaxation, computed with GGA-PBE.

```
data_LaAlN2F
_chemical_formula_sum 'La1 Al1 N2 F1'
_cell_length_a 4.4445
_cell_length_b 4.4445
_cell_length_c 4.6556
_cell_angle_alpha 90.00
_cell_angle_beta 90.00
_cell_angle_gamma 90.00
_symmetry_space_group_name_H-M 'P 1'
_symmetry_Int_Tables_number 1
loop_
_symmetry_equiv_pos_as_xyz
'x,y,z'
loop_
_atom_site_label
_atom_site_fract_x
_atom_site_fract_y
_atom_site_fract_z
_atom_site_occupancy
La1 0.0000 0.0000 0.0000 1
Al1 0.5000 0.5000 0.5000 1
N1 0.0000 0.5000 0.0000 1
N2 0.5000 0.0000 0.0000 1
F1 0.0000 0.0000 0.5000 1
```

density: 3.8 Mg/m³
symmetry: No. 123
ΔE_f (raw): -16 meV/atom